Run w
Density functional theory data (PBE-GGA) for crystalline Hf2ZrIr at its relaxed geometry.

Calculated values
- V (A^3/atom) = 20.01

a b c (Å): 3.309 3.309 7.310
angles (deg): 90.00 90.00 90.00
Sites, in units of the cell vectors:
Ir  0.500  0.500  0.000
Hf  0.000  0.000  0.783
Hf  0.000  0.000  0.217
Zr  0.500  0.500  0.500

Run x
Density functional theory data (PBE-GGA) for crystalline Hf2ZrIr at its relaxed geometry.

Calculated values
- V (A^3/atom) = 19.04

a b c (Å): 4.758 4.758 4.758
angles (deg): 60.00 60.00 60.00
Sites, in units of the cell vectors:
Ir  0.500  0.500  0.500
Hf  0.250  0.250  0.250
Hf  0.750  0.750  0.750
Zr  0.000  0.000  0.000

Run y
Density functional theory data (PBE-GGA) for crystalline Hf2ZrIr at its relaxed geometry.

Calculated values
- V (A^3/atom) = 22.41

a b c (Å): 4.547 4.547 5.652
angles (deg): 66.28 66.28 60.00
Sites, in units of the cell vectors:
Hf  0.058  0.058  0.826
Hf  0.275  0.275  0.175
Zr  0.493  0.493  0.520
Ir  0.674  0.674  0.978

Run z
Density functional theory data (PBE-GGA) for crystalline Hf2ZrIr at its relaxed geometry.

Calculated values
- V (A^3/atom) = 20.82

a b c (Å): 3.449 5.949 8.482
angles (deg): 90.00 90.00 106.85
Sites, in units of the cell vectors:
Hf  0.365  0.730  0.551
Hf  0.635  0.270  0.449
Hf  0.365  0.730  0.949
Hf  0.635  0.270  0.051
Zr  0.943  0.886  0.250
Zr  0.057  0.114  0.750
Ir  0.767  0.534  0.750
Ir  0.233  0.466  0.250

Most stable one: run z, least stable one: run y.

Run w
Density functional theory data (PBE-GGA) for crystalline Hf2ZrIr at its relaxed geometry.

Calculated values
- V (A^3/atom) = 19.36

a b c (Å): 3.406 4.768 4.768
angles (deg): 90.00 90.00 90.00
Sites, in units of the cell vectors:
Ir  0.500  0.500  0.500
Hf  0.000  0.000  0.500
Hf  0.000  0.500  0.000
Zr  0.500  0.000  0.000

Run x
Density functional theory data (PBE-GGA) for crystalline Hf2ZrIr at its relaxed geometry.

Calculated values
- V (A^3/atom) = 21.98

a b c (Å): 7.790 7.790 6.224
angles (deg): 51.26 51.26 90.00
Sites, in units of the cell vectors:
Ir  0.000  0.000  0.000
Ir  0.750  0.250  0.500
Hf  0.676  0.125  0.250
Hf  0.074  0.625  0.250
Hf  0.375  0.324  0.750
Hf  0.875  0.926  0.750
Zr  0.500  0.500  0.000
Zr  0.250  0.750  0.500

Most stable one: run w, least stable one: run x.

Run w
Density functional theory data (PBE-GGA) for crystalline Hf2Zr2Ir at its relaxed geometry.

Calculated values
- V (A^3/atom) = 22.20

a b c (Å): 6.833 6.833 4.754
angles (deg): 90.00 90.00 90.00
Sites, in units of the cell vectors:
Ir  0.000  0.000  0.000
Ir  0.500  0.500  0.000
Hf  0.155  0.655  0.500
Hf  0.655  0.845  0.500
Hf  0.845  0.345  0.500
Hf  0.345  0.155  0.500
Zr  0.348  0.848  0.000
Zr  0.848  0.652  0.000
Zr  0.652  0.152  0.000
Zr  0.152  0.348  0.000

Run x
Density functional theory data (PBE-GGA) for crystalline Hf2Zr2Ir at its relaxed geometry.

Calculated values
- V (A^3/atom) = 22.16

a b c (Å): 6.798 6.798 4.796
angles (deg): 90.00 90.00 90.00
Sites, in units of the cell vectors:
Ir  0.000  0.000  0.000
Ir  0.500  0.500  0.000
Hf  0.346  0.846  0.000
Hf  0.846  0.654  0.000
Hf  0.654  0.154  0.000
Hf  0.154  0.346  0.000
Zr  0.155  0.655  0.500
Zr  0.655  0.845  0.500
Zr  0.845  0.345  0.500
Zr  0.345  0.155  0.500

Most stable one: run x, least stable one: run w.

Run w
Density functional theory data (PBE-GGA) for crystalline K3Hf at its relaxed geometry.

Calculated values
- V (A^3/atom) = 49.15

a b c (Å): 6.527 6.527 6.527
angles (deg): 60.00 60.00 60.00
Site moments in Bohr magnetons follow the coordinates.
Sites, in units of the cell vectors:
K  0.250  0.250  0.250  0.03
K  0.750  0.750  0.750  0.03
K  0.500  0.500  0.500  0.02
Hf  0.000  0.000  0.000  1.37

Run x
Density functional theory data (PBE-GGA) for crystalline K3Hf at its relaxed geometry.

Calculated values
- V (A^3/atom) = 49.92

a b c (Å): 5.845 5.845 5.845
angles (deg): 90.00 90.00 90.00
Site moments in Bohr magnetons follow the coordinates.
Sites, in units of the cell vectors:
K  0.000  0.500  0.500  0.03
K  0.500  0.500  0.000  0.03
K  0.500  0.000  0.500  0.03
Hf  0.000  0.000  0.000  1.41

Most stable one: run w, least stable one: run x.